# 1
VASP calculation (PBE) on an optimized crystal structure of Sr5TmIn6.

## Properties
Crystal system = monoclinic
Formation energy from the elements = -0.4246 eV/atom
Density of states at the Fermi level = 6.8 states/eV/f.u.
Final energy = -34.41 eV per cell

POSCAR file:
```
Sr5TmIn6
1.0
8.987 -3.966 0.000
8.987 3.966 0.000
-1.780 0.000 5.413
Sr Tm In
5 1 6
Direct
0.000 0.000 0.000 Sr
0.160 0.160 0.660 Sr
0.318 0.318 0.317 Sr
0.682 0.682 0.683 Sr
0.840 0.840 0.340 Sr
0.500 0.500 0.000 Tm
0.120 0.567 0.843 In
0.289 0.711 0.500 In
0.433 0.880 0.157 In
0.567 0.120 0.843 In
0.711 0.289 0.500 In
0.880 0.433 0.157 In
```


# 2
VASP calculation (PBE) on an optimized crystal structure of SrTm4In5.

## Properties
Crystal system = tetragonal
Formation energy from the elements = -0.4214 eV/atom
Density of states at the Fermi level = 5.4 states/eV/f.u.
Final energy = -37.47 eV per cell

POSCAR file:
```
SrTm4In5
1.0
3.772 0.000 0.000
0.000 3.772 0.000
0.000 0.000 19.096
Sr Tm In
1 4 5
Direct
0.000 0.000 0.000 Sr
0.000 0.000 0.213 Tm
0.000 0.000 0.405 Tm
0.000 0.000 0.595 Tm
0.000 0.000 0.787 Tm
0.500 0.500 0.119 In
0.500 0.500 0.310 In
0.500 0.500 0.500 In
0.500 0.500 0.690 In
0.500 0.500 0.881 In
```


# 3
VASP calculation (PBE) on an optimized crystal structure of SrTm2In4.

## Properties
Crystal system = orthorhombic
Formation energy from the elements = -0.3832 eV/atom
Density of states at the Fermi level = 5.0 states/eV/f.u.
Final energy = -24.26 eV per cell

POSCAR file:
```
SrTm2In4
1.0
-1.879 2.449 10.612
1.879 -2.449 10.612
1.879 2.449 -10.612
Sr Tm In
1 2 4
Direct
0.000 0.000 0.000 Sr
0.301 0.801 0.500 Tm
0.699 0.199 0.500 Tm
0.154 0.654 0.500 In
0.428 0.428 0.000 In
0.572 0.572 0.000 In
0.846 0.346 0.500 In
```


# 4
VASP calculation (PBE) on an optimized crystal structure of SrTm2In3.

## Properties
Crystal system = tetragonal
Formation energy from the elements = -0.4233 eV/atom
Density of states at the Fermi level = 3.4 states/eV/f.u.
Final energy = -21.38 eV per cell

POSCAR file:
```
SrTm2In3
1.0
3.809 0.000 0.000
0.000 3.809 0.000
0.000 0.000 11.660
Sr Tm In
1 2 3
Direct
0.000 0.000 0.000 Sr
0.000 0.000 0.345 Tm
0.000 0.000 0.655 Tm
0.500 0.500 0.193 In
0.500 0.500 0.500 In
0.500 0.500 0.807 In
```


# 5
VASP calculation (PBE) on an optimized crystal structure of SrTmIn4.

## Properties
Crystal system = cubic
Formation energy from the elements = -0.2749 eV/atom
Density of states at the Fermi level = 5.0 states/eV/f.u.
Final energy = -18.76 eV per cell

POSCAR file:
```
SrTmIn4
1.0
0.000 4.334 4.334
4.334 0.000 4.334
4.334 4.334 0.000
Sr Tm In
1 1 4
Direct
0.000 0.000 0.000 Sr
0.250 0.250 0.250 Tm
0.126 0.625 0.625 In
0.625 0.126 0.625 In
0.625 0.625 0.126 In
0.625 0.625 0.625 In
```


# 6
VASP calculation (PBE) on an optimized crystal structure of Sr3VIn.

## Properties
Crystal system = cubic
Formation energy from the elements = 0.5895 eV/atom
Density of states at the Fermi level = 5.0 states/eV/f.u.
Final energy = -13.95 eV per cell

POSCAR file:
```
Sr3VIn
1.0
6.092 0.000 0.000
0.000 6.092 0.000
0.000 0.000 6.092
Sr V In
3 1 1
Direct
0.000 0.000 0.500 Sr
0.000 0.500 0.000 Sr
0.500 0.000 0.000 Sr
0.000 0.000 0.000 V
0.500 0.500 0.500 In
```


# 7
VASP calculation (PBE) on an optimized crystal structure of SrVIn3.

## Properties
Crystal system = cubic
Formation energy from the elements = 0.0020 eV/atom
Density of states at the Fermi level = 1.9 states/eV/f.u.
Final energy = -19.01 eV per cell

POSCAR file:
```
SrVIn3
1.0
5.220 0.000 0.000
0.000 5.220 0.000
0.000 0.000 5.220
Sr V In
1 1 3
Direct
0.000 0.000 0.000 Sr
0.500 0.500 0.500 V
0.000 0.500 0.500 In
0.500 0.000 0.500 In
0.500 0.500 0.000 In
```


# 8
VASP calculation (PBE) on an optimized crystal structure of Sr2VIn.

## Properties
Crystal system = tetragonal
Formation energy from the elements = 0.5736 eV/atom
Density of states at the Fermi level = 2.1 states/eV/f.u.
Final energy = -25.85 eV per cell

POSCAR file:
```
Sr2VIn
1.0
-4.494 4.494 3.286
4.494 -4.494 3.286
4.494 4.494 -3.286
Sr V In
4 2 2
Direct
0.113 0.125 0.488 Sr
0.375 0.887 0.012 Sr
0.637 0.625 0.512 Sr
0.875 0.363 0.988 Sr
0.000 0.000 0.000 V
0.750 0.250 0.500 V
0.250 0.750 0.500 In
0.500 0.500 0.000 In
```


# 9
VASP calculation (PBE) on an optimized crystal structure of SrInW.

## Properties
Crystal system = cubic
Formation energy from the elements = 1.2212 eV/atom
Density of states at the Fermi level = 0.8 states/eV/f.u.
Final energy = -13.71 eV per cell

POSCAR file:
```
SrInW
1.0
0.000 3.548 3.548
3.548 0.000 3.548
3.548 3.548 0.000
Sr In W
1 1 1
Direct
0.000 0.000 0.000 Sr
0.500 0.500 0.500 In
0.750 0.750 0.750 W
```


# 10
VASP calculation (PBE) on an optimized crystal structure of Sr2InW.

## Properties
Crystal system = monoclinic
Formation energy from the elements = 0.6462 eV/atom
Density of states at the Fermi level = 4.3 states/eV/f.u.
Final energy = -16.47 eV per cell

POSCAR file:
```
Sr2InW
1.0
6.239 -1.600 0.000
6.239 1.600 0.000
-1.692 0.000 5.724
Sr In W
2 1 1
Direct
0.000 0.000 0.000 Sr
0.192 0.192 0.620 Sr
0.763 0.763 0.166 In
0.435 0.435 0.463 W
```


# 11
VASP calculation (PBE) on an optimized crystal structure of Sr2InW.

## Properties
Crystal system = tetragonal
Formation energy from the elements = 0.8302 eV/atom
Density of states at the Fermi level = 4.2 states/eV/f.u.
Final energy = -15.73 eV per cell

POSCAR file:
```
Sr2InW
1.0
-2.723 2.723 3.862
2.723 -2.723 3.862
2.723 2.723 -3.862
Sr In W
2 1 1
Direct
0.000 0.000 0.000 Sr
0.750 0.250 0.500 Sr
0.500 0.500 0.000 In
0.250 0.750 0.500 W
```


# 12
VASP calculation (PBE) on an optimized crystal structure of SrInW2.

## Properties
Crystal system = orthorhombic
Formation energy from the elements = 1.0177 eV/atom
Density of states at the Fermi level = 2.6 states/eV/f.u.
Final energy = -26.26 eV per cell

POSCAR file:
```
SrInW2
1.0
1.865 -2.179 0.000
1.865 2.179 0.000
0.000 0.000 10.129
Sr In W
1 1 2
Direct
0.000 0.000 0.000 Sr
0.000 0.000 0.500 In
0.500 0.500 0.275 W
0.500 0.500 0.725 W
```


# 13
VASP calculation (PBE) on an optimized crystal structure of SrInW2.

## Properties
Crystal system = trigonal
Formation energy from the elements = 0.6671 eV/atom
Density of states at the Fermi level = 2.2 states/eV/f.u.
Final energy = -27.66 eV per cell

POSCAR file:
```
SrInW2
1.0
1.644 0.949 9.938
-1.644 0.949 9.938
0.000 -1.899 9.938
Sr In W
1 1 2
Direct
0.000 0.000 0.000 Sr
0.236 0.236 0.236 In
0.487 0.487 0.487 W
0.764 0.764 0.764 W
```


# 14
VASP calculation (PBE) on an optimized crystal structure of SrInW2.

## Properties
Crystal system = orthorhombic
Formation energy from the elements = 0.8407 eV/atom
Density of states at the Fermi level = 3.4 states/eV/f.u.
Final energy = -26.96 eV per cell

POSCAR file:
```
SrInW2
1.0
-1.717 2.643 5.075
1.717 -2.643 5.075
1.717 2.643 -5.075
Sr In W
1 1 2
Direct
0.000 0.000 0.000 Sr
0.711 0.211 0.500 In
0.273 0.773 0.500 W
0.448 0.448 0.000 W
```


# 15
VASP calculation (PBE) on an optimized crystal structure of SrInW.

## Properties
Crystal system = hexagonal
Formation energy from the elements = 0.8857 eV/atom
Density of states at the Fermi level = 2.9 states/eV/f.u.
Final energy = -14.72 eV per cell

POSCAR file:
```
SrInW
1.0
5.234 0.000 0.000
-2.617 4.533 0.000
0.000 0.000 2.994
Sr In W
1 1 1
Direct
0.000 0.000 0.000 Sr
0.333 0.667 0.500 In
0.667 0.333 0.500 W
```


# 16
VASP calculation (PBE) on an optimized crystal structure of SrInW.

## Properties
Crystal system = cubic
Formation energy from the elements = 1.7679 eV/atom
Density of states at the Fermi level = 1.2 states/eV/f.u.
Final energy = -12.07 eV per cell

POSCAR file:
```
SrInW
1.0
0.000 3.651 3.651
3.651 0.000 3.651
3.651 3.651 0.000
Sr In W
1 1 1
Direct
0.000 0.000 0.000 Sr
0.750 0.750 0.750 In
0.250 0.250 0.250 W
```


# 17
VASP calculation (PBE) on an optimized crystal structure of SrInW2.

## Properties
Crystal system = cubic
Formation energy from the elements = 0.9729 eV/atom
Density of states at the Fermi level = 5.3 states/eV/f.u.
Final energy = -26.44 eV per cell

POSCAR file:
```
SrInW2
1.0
0.000 3.461 3.461
3.461 0.000 3.461
3.461 3.461 0.000
Sr In W
1 1 2
Direct
0.000 0.000 0.000 Sr
0.250 0.250 0.250 In
0.500 0.500 0.500 W
0.750 0.750 0.750 W
```


# 18
VASP calculation (PBE) on an optimized crystal structure of SrInW2.

## Properties
Crystal system = monoclinic
Formation energy from the elements = 0.8310 eV/atom
Density of states at the Fermi level = 3.9 states/eV/f.u.
Final energy = -27.00 eV per cell

POSCAR file:
```
SrInW2
1.0
5.162 -1.671 0.000
5.162 1.671 0.000
-1.141 0.000 5.824
Sr In W
1 1 2
Direct
0.000 0.000 0.000 Sr
0.500 0.500 0.500 In
0.233 0.233 0.643 W
0.767 0.767 0.357 W
```


# 19
VASP calculation (PBE) on an optimized crystal structure of SrIn2W2.

## Properties
Crystal system = tetragonal
Formation energy from the elements = 0.4053 eV/atom
Density of states at the Fermi level = 1.7 states/eV/f.u.
Final energy = -31.04 eV per cell

POSCAR file:
```
SrIn2W2
1.0
-1.992 1.992 7.180
1.992 -1.992 7.180
1.992 1.992 -7.180
Sr In W
1 2 2
Direct
0.000 0.000 0.000 Sr
0.392 0.392 0.000 In
0.608 0.608 0.000 In
0.250 0.750 0.500 W
0.750 0.250 0.500 W
```


# 20
VASP calculation (PBE) on an optimized crystal structure of Sr2InW.

## Properties
Crystal system = tetragonal
Formation energy from the elements = 1.0829 eV/atom
Density of states at the Fermi level = 2.9 states/eV/f.u.
Final energy = -29.45 eV per cell

POSCAR file:
```
Sr2InW
1.0
-4.418 4.418 3.108
4.418 -4.418 3.108
4.418 4.418 -3.108
Sr In W
4 2 2
Direct
0.107 0.125 0.482 Sr
0.375 0.893 0.018 Sr
0.643 0.625 0.518 Sr
0.875 0.357 0.982 Sr
0.250 0.750 0.500 In
0.500 0.500 0.000 In
0.000 0.000 0.000 W
0.750 0.250 0.500 W
```


# 21
VASP calculation (PBE) on an optimized crystal structure of Sr2InW.

## Properties
Crystal system = trigonal
Formation energy from the elements = 0.8575 eV/atom
Density of states at the Fermi level = 2.5 states/eV/f.u.
Final energy = -15.63 eV per cell

POSCAR file:
```
Sr2InW
1.0
1.698 0.980 11.109
-1.698 0.980 11.109
0.000 -1.960 11.109
Sr In W
2 1 1
Direct
0.245 0.245 0.245 Sr
0.755 0.755 0.755 Sr
0.000 0.000 0.000 In
0.500 0.500 0.500 W
```


# 22
VASP calculation (PBE) on an optimized crystal structure of SrInW2.

## Properties
Crystal system = tetragonal
Formation energy from the elements = 1.2141 eV/atom
Density of states at the Fermi level = 4.5 states/eV/f.u.
Final energy = -50.94 eV per cell

POSCAR file:
```
SrInW2
1.0
-2.316 2.316 10.190
2.316 -2.316 10.190
2.316 2.316 -10.190
Sr In W
2 2 4
Direct
0.000 0.000 0.000 Sr
0.750 0.250 0.500 Sr
0.250 0.750 0.500 In
0.500 0.500 0.000 In
0.288 0.625 0.163 W
0.375 0.538 0.663 W
0.462 0.125 0.837 W
0.875 0.712 0.337 W
```


# 23
VASP calculation (PBE) on an optimized crystal structure of Sr2InW.

## Properties
Crystal system = tetragonal
Formation energy from the elements = 0.6017 eV/atom
Density of states at the Fermi level = 5.5 states/eV/f.u.
Final energy = -16.65 eV per cell

POSCAR file:
```
Sr2InW
1.0
3.763 0.000 0.000
0.000 3.763 0.000
0.000 0.000 9.038
Sr In W
2 1 1
Direct
0.000 0.000 0.000 Sr
0.500 0.500 0.397 Sr
0.500 0.500 0.748 In
0.000 0.000 0.645 W
```


# 24
VASP calculation (PBE) on an optimized crystal structure of SrInW.

## Properties
Crystal system = tetragonal
Formation energy from the elements = 0.8247 eV/atom
Density of states at the Fermi level = 4.4 states/eV/f.u.
Final energy = -14.90 eV per cell

POSCAR file:
```
SrInW
1.0
-1.855 1.855 5.724
1.855 -1.855 5.724
1.855 1.855 -5.724
Sr In W
1 1 1
Direct
0.000 0.000 0.000 Sr
0.719 0.719 0.000 In
0.299 0.299 0.000 W
```


# 25
VASP calculation (PBE) on an optimized crystal structure of Sr2InW.

## Properties
Crystal system = orthorhombic
Formation energy from the elements = 0.6879 eV/atom
Density of states at the Fermi level = 4.7 states/eV/f.u.
Final energy = -16.30 eV per cell

POSCAR file:
```
Sr2InW
1.0
4.718 0.000 0.000
0.000 2.392 6.016
0.000 -2.392 6.016
Sr In W
2 1 1
Direct
0.000 0.000 0.000 Sr
0.500 0.288 0.288 Sr
0.500 0.584 0.584 In
0.000 0.700 0.700 W
```


# 26
VASP calculation (PBE) on an optimized crystal structure of SrInW.

## Properties
Crystal system = tetragonal
Formation energy from the elements = 0.7068 eV/atom
Density of states at the Fermi level = 1.8 states/eV/f.u.
Final energy = -15.25 eV per cell

POSCAR file:
```
SrInW
1.0
-1.510 1.510 7.601
1.510 -1.510 7.601
1.510 1.510 -7.601
Sr In W
1 1 1
Direct
0.000 0.000 0.000 Sr
0.314 0.314 0.000 In
0.673 0.673 0.000 W
```


# 27
VASP calculation (PBE) on an optimized crystal structure of Sr2InW.

## Properties
Crystal system = orthorhombic
Formation energy from the elements = 0.6901 eV/atom
Density of states at the Fermi level = 3.4 states/eV/f.u.
Final energy = -16.29 eV per cell

POSCAR file:
```
Sr2InW
1.0
2.243 -2.247 0.000
2.243 2.247 0.000
0.000 0.000 10.623
Sr In W
2 1 1
Direct
0.000 0.000 0.237 Sr
0.000 0.000 0.763 Sr
0.500 0.500 0.500 In
0.500 0.500 0.000 W
```


# 28
VASP calculation (PBE) on an optimized crystal structure of SrInW2.

## Properties
Crystal system = orthorhombic
Formation energy from the elements = 0.4329 eV/atom
Density of states at the Fermi level = 4.2 states/eV/f.u.
Final energy = -28.60 eV per cell

POSCAR file:
```
SrInW2
1.0
3.347 0.000 0.000
0.000 3.368 0.000
0.000 0.000 8.104
Sr In W
1 1 2
Direct
0.000 0.000 0.000 Sr
0.500 0.500 0.316 In
0.000 0.000 0.554 W
0.500 0.500 0.696 W
```


# 29
VASP calculation (PBE) on an optimized crystal structure of SrInW2.

## Properties
Crystal system = orthorhombic
Formation energy from the elements = 0.6583 eV/atom
Density of states at the Fermi level = 3.0 states/eV/f.u.
Final energy = -27.69 eV per cell

POSCAR file:
```
SrInW2
1.0
1.727 -2.492 0.000
1.727 2.492 0.000
0.000 0.000 10.005
Sr In W
1 1 2
Direct
0.000 0.000 0.000 Sr
0.500 0.500 0.293 In
0.000 0.000 0.533 W
0.500 0.500 0.724 W
```